Below is a PBEsol-optimized structure of CsWS2N, with properties calculated at the SCAN level.

Unit cell a=4.8997 b=4.8997 c=3.9525 alpha=90.00 beta=90.00 gamma=90.00
Closest atoms and distances in Å follow each position.
Atoms (fractional coordinates):
Cs  0.0000  0.0000  0.0000  8 S 3.15, 4 N 3.46
W  0.5000  0.5000  0.5000  2 N 1.98
S  0.0000  0.5000  0.5000  2 W 2.45
S  0.5000  0.0000  0.5000  2 W 2.45
N  0.5000  0.5000  0.0000  2 W 1.98

## Properties
The formation energy without anion corrections is -0.314 eV/atom. For the calculated total energy, the calculation gives -137.617 eV for the cell shown. The value obtained for the density of states at the Fermi level is 2.1 states/eV/f.u.